Entry 1:
The following is a PBE calculation of Y8P3S4 after structural relaxation, from Alexandria via LeMat-Bulk.

Electronic total energy ... -110.914 eV/cell
Uncorrected formation energy ... -1764 meV per atom

Geometry as CIF:
```
data_Y8P3S4
_space_group_name_H-M_alt 'P 1'
_space_group_IT_number 1
_cell_length_a 7.876
_cell_length_b 7.887
_cell_length_c 7.887
_cell_angle_alpha 89.92
_cell_angle_beta 120.07
_cell_angle_gamma 120.07
loop_
_space_group_symop_operation_xyz
'x,y,z'
loop_
_atom_site_label
_atom_site_type_symbol
_atom_site_fract_x
_atom_site_fract_y
_atom_site_fract_z
Y1 Y 0.500 0.747 0.253
Y2 Y 0.000 0.248 0.752
Y3 Y 0.005 0.249 0.249
Y4 Y 0.000 0.752 0.248
Y5 Y 0.499 0.251 0.251
Y6 Y 0.501 0.749 0.749
Y7 Y 0.500 0.253 0.747
Y8 Y 0.995 0.751 0.751
S1 S 0.000 0.500 0.000
S2 S 0.500 0.000 0.000
S3 S 0.000 0.000 0.500
S4 S 0.000 0.000 0.000
P1 P 0.500 0.500 0.500
P2 P 0.500 0.500 0.000
P3 P 0.500 0.000 0.500
```


Entry 2:
The following is a PBE calculation of SrIn2Ru2 after structural relaxation, from Alexandria via LeMat-Bulk.

Electronic total energy ... -25.650 eV/cell

Geometry as CIF:
```
data_SrIn2Ru2
_space_group_name_H-M_alt 'P 1'
_space_group_IT_number 1
_cell_length_a 4.671
_cell_length_b 4.671
_cell_length_c 6.209
_cell_angle_alpha 67.91
_cell_angle_beta 67.91
_cell_angle_gamma 90.00
loop_
_space_group_symop_operation_xyz
'x,y,z'
loop_
_atom_site_label
_atom_site_type_symbol
_atom_site_fract_x
_atom_site_fract_y
_atom_site_fract_z
In1 In 0.750 0.250 0.500
In2 In 0.250 0.750 0.500
Ru1 Ru 0.389 0.389 0.222
Ru2 Ru 0.611 0.611 0.778
Sr1 Sr 0.000 0.000 0.000
```


Entry 3:
The following is a PBE calculation of LiAlRe2 after structural relaxation, from Alexandria via LeMat-Bulk.

Electronic total energy ... -30.403 eV/cell

Geometry as CIF:
```
data_LiAlRe2
_space_group_name_H-M_alt 'P 1'
_space_group_IT_number 1
_cell_length_a 5.057
_cell_length_b 5.057
_cell_length_c 5.057
_cell_angle_alpha 144.38
_cell_angle_beta 130.33
_cell_angle_gamma 62.61
loop_
_space_group_symop_operation_xyz
'x,y,z'
loop_
_atom_site_label
_atom_site_type_symbol
_atom_site_fract_x
_atom_site_fract_y
_atom_site_fract_z
Re1 Re 0.000 0.000 0.000
Re2 Re 0.500 0.500 0.000
Al1 Al 0.750 0.250 0.500
Li1 Li 0.250 0.750 0.500
```


Entry 4:
The following is a PBE calculation of Pr4PdRuCl2 after structural relaxation, from Alexandria via LeMat-Bulk.

Electronic total energy ... -45.478 eV/cell
Uncorrected formation energy ... -1025 meV per atom

Geometry as CIF:
```
data_Pr4PdRuCl2
_space_group_name_H-M_alt 'P 1'
_space_group_IT_number 1
_cell_length_a 4.145
_cell_length_b 7.160
_cell_length_c 8.007
_cell_angle_alpha 107.15
_cell_angle_beta 90.00
_cell_angle_gamma 90.00
loop_
_space_group_symop_operation_xyz
'x,y,z'
loop_
_atom_site_label
_atom_site_type_symbol
_atom_site_fract_x
_atom_site_fract_y
_atom_site_fract_z
Pd1 Pd 0.000 0.000 0.000
Ru1 Ru 0.500 0.500 0.000
Cl1 Cl 0.000 0.500 0.500
Cl2 Cl 0.500 0.000 0.500
Pr1 Pr 0.500 0.247 0.206
Pr2 Pr 0.500 0.753 0.794
Pr3 Pr 0.000 0.725 0.209
Pr4 Pr 0.000 0.275 0.791
```


Entry 5:
The following is a PBE calculation of Er3ZrGa12 after structural relaxation, from Alexandria via LeMat-Bulk.

Electronic total energy ... -66.755 eV/cell

Geometry as CIF:
```
data_Er3ZrGa12
_space_group_name_H-M_alt 'P 1'
_space_group_IT_number 1
_cell_length_a 4.206
_cell_length_b 4.206
_cell_length_c 16.955
_cell_angle_alpha 90.00
_cell_angle_beta 90.00
_cell_angle_gamma 90.00
loop_
_space_group_symop_operation_xyz
'x,y,z'
loop_
_atom_site_label
_atom_site_type_symbol
_atom_site_fract_x
_atom_site_fract_y
_atom_site_fract_z
Ga1 Ga 0.500 0.000 0.627
Ga2 Ga 0.000 0.500 0.627
Ga3 Ga 0.500 0.500 0.000
Ga4 Ga 0.500 0.500 0.249
Ga5 Ga 0.500 0.000 0.121
Ga6 Ga 0.500 0.500 0.500
Ga7 Ga 0.000 0.500 0.121
Ga8 Ga 0.000 0.500 0.373
Ga9 Ga 0.500 0.000 0.373
Ga10 Ga 0.000 0.500 0.879
Ga11 Ga 0.500 0.000 0.879
Ga12 Ga 0.500 0.500 0.751
Zr1 Zr 0.000 0.000 0.000
Er1 Er 0.000 0.000 0.245
Er2 Er 0.000 0.000 0.755
Er3 Er 0.000 0.000 0.500
```


Entry 6:
The following is a PBE calculation of BeAlH after structural relaxation, from Alexandria via LeMat-Bulk.

ΔE to the lowest computed polymorph ... 0.480 eV per formula unit
Electronic total energy ... -19.837 eV/cell

Geometry as CIF:
```
data_BeAlH
_space_group_name_H-M_alt 'P 1'
_space_group_IT_number 1
_cell_length_a 2.808
_cell_length_b 3.961
_cell_length_c 5.694
_cell_angle_alpha 86.70
_cell_angle_beta 104.28
_cell_angle_gamma 90.00
loop_
_space_group_symop_operation_xyz
'x,y,z'
loop_
_atom_site_label
_atom_site_type_symbol
_atom_site_fract_x
_atom_site_fract_y
_atom_site_fract_z
H1 H 0.752 0.220 0.505
H2 H 0.927 0.108 0.855
Al1 Al 0.166 0.574 0.332
Al2 Al 0.451 0.431 0.901
Be1 Be 0.830 0.863 0.660
Be2 Be 0.640 0.063 0.280
```